DFT (PBE) results for Cr3PtAu after structural relaxation.

Calculated values
**Calculated density**: 8.09 g cm⁻³
**Energy above the most stable polymorph in this dataset**: 0 meV/atom
**DFT total energy**: -6.55 eV/atom
**SG**: Pm-3m
**ΔE_f**: 524 kJ/mol of formula units
**Spin magnetization**: 11.9 μB per formula unit

abc: 4.828 4.828 4.828
angles: 90.00 90.00 90.00
Atoms (fractional coordinates):
1 Cr 0.000 0.000 0.500
2 Cr 0.000 0.500 0.000
3 Cr 0.500 0.000 0.000
4 Pt 0.000 0.000 0.000
5 Au 0.500 0.500 0.500

***

DFT (PBE) results for TaCrIn2 after structural relaxation.

Calculated values
**Calculated density**: 9.99 g cm⁻³
**Energy above the most stable polymorph in this dataset**: 136 meV/atom
**DFT total energy**: -6.30 eV/atom
**SG**: C2/m
**ΔE_f**: 168 kJ/mol of formula units
**Spin magnetization**: 2.4 μB per formula unit

abc: 5.314 5.314 5.045
angles: 108.07 108.07 34.77
Atoms (fractional coordinates):
1 Ta 0.000 0.000 0.000
2 Cr 0.500 0.500 0.500
3 In 0.241 0.241 0.743
4 In 0.759 0.759 0.257

***

DFT (PBE) results for Na4AcPb4 after structural relaxation.

Calculated values
**Calculated density**: 6.67 g cm⁻³
**DFT total energy**: -2.79 eV/atom
**SG**: P4_2/nmc
**ΔE_f**: -89 kJ/mol of formula units
**Spin magnetization**: 0.0 μB per formula unit

abc: 7.322 7.322 10.654
angles: 90.00 90.00 90.00
Atoms (fractional coordinates):
1 Na 0.020 0.250 0.174
2 Na 0.250 0.020 0.674
3 Na 0.250 0.480 0.674
4 Na 0.480 0.250 0.174
5 Na 0.520 0.750 0.826
6 Na 0.750 0.520 0.326
7 Na 0.750 0.980 0.326
8 Na 0.980 0.750 0.826
9 Ac 0.250 0.750 0.250
10 Ac 0.750 0.250 0.750
11 Pb 0.034 0.250 0.471
12 Pb 0.250 0.034 0.971
13 Pb 0.250 0.466 0.971
14 Pb 0.466 0.250 0.471
15 Pb 0.534 0.750 0.529
16 Pb 0.750 0.534 0.029
17 Pb 0.750 0.966 0.029
18 Pb 0.966 0.750 0.529

***

DFT (PBE) results for CuHg2W after structural relaxation.

Calculated values
**Calculated density**: 14.65 g cm⁻³
**Energy above the most stable polymorph in this dataset**: 180 meV/atom
**DFT total energy**: -3.72 eV/atom
**SG**: Imm2
**ΔE_f**: 266 kJ/mol of formula units
**Spin magnetization**: 0.0 μB per formula unit

abc: 5.963 5.963 5.963
angles: 153.00 129.78 57.94
Atoms (fractional coordinates):
1 Cu 0.000 0.000 0.000
2 Hg 0.470 0.470 0.000
3 Hg 0.750 0.250 0.500
4 W 0.213 0.713 0.500